(1)
First-principles (PBE-GGA) data for ZnCr2 after structural relaxation, as listed in Alexandria via LeMat-Bulk.

Output
Formation energy ... 298.2 meV per atom
SG ... P-62m (189)

a = 7.318 Å, b = 7.318 Å, c = 2.412 Å
α = 90.00°, β = 90.00°, γ = 120.00°
Fractional coordinates of all 9 atoms:
Zn1 0.000 0.000 0.000
Zn2 0.333 0.667 0.500
Zn3 0.667 0.333 0.500
Cr1 0.000 0.317 0.500
Cr2 0.000 0.651 0.000
Cr3 0.317 0.000 0.500
Cr4 0.349 0.349 0.000
Cr5 0.651 0.000 0.000
Cr6 0.683 0.683 0.500



(2)
First-principles (PBE-GGA) data for KNb2PtO8 after structural relaxation, as listed in Alexandria via LeMat-Bulk.

Output
SG ... P-1 (2)
Formation energy (no corrections) ... -1.7395 eV/atom

a = 5.300 Å, b = 5.301 Å, c = 7.176 Å
α = 77.55°, β = 77.53°, γ = 73.05°
Fractional coordinates of all 12 atoms:
K1 0.000 0.000 0.000
Nb1 0.443 0.443 0.231
Nb2 0.557 0.557 0.769
Pt1 0.000 0.000 0.500
O1 0.227 0.770 0.693
O2 0.232 0.776 0.307
O3 0.234 0.239 0.423
O4 0.349 0.351 0.014
O5 0.651 0.649 0.986
O6 0.766 0.761 0.577
O7 0.768 0.224 0.693
O8 0.773 0.230 0.307



no.,volume (Å³ per cell)
1,112
2,186